# TlHgC2 | the Alexandria database | PBE-GGA | relaxed
# Polymorph energy (0 for the lowest one) ... 0.000 eV per formula unit
data_TlHgC2
_space_group_name_H-M_alt 'I -4 2 d'
_space_group_IT_number 122
_space_group_name_Hall 'I -4 2bw'
_cell_length_a 5.2138
_cell_length_b 5.2138
_cell_length_c 10.7936
_cell_angle_alpha 90.00
_cell_angle_beta 90.00
_cell_angle_gamma 90.00
loop_
_atom_site_label
_atom_site_fract_x
_atom_site_fract_y
_atom_site_fract_z
_atom_site_occupancy
Tl1 0.0000 0.0000 0.0000 1
Hg1 0.0000 0.0000 0.5000 1
C1 0.2337 0.2500 0.6250 1

# CeYCdSn | the Alexandria database | PBE-GGA | relaxed
# Raw total energy ... -4.783 eV/atom
data_CeYCdSn
_space_group_name_H-M_alt 'F -4 3 m'
_space_group_IT_number 216
_space_group_name_Hall 'F -4 2 3'
_cell_length_a 7.5868
_cell_length_b 7.5868
_cell_length_c 7.5868
_cell_angle_alpha 90.00
_cell_angle_beta 90.00
_cell_angle_gamma 90.00
loop_
_atom_site_label
_atom_site_fract_x
_atom_site_fract_y
_atom_site_fract_z
_atom_site_occupancy
Ce1 0.0000 0.0000 0.0000 1
Y1 0.0000 0.0000 0.5000 1
Cd1 0.2500 0.2500 0.7500 1
Sn1 0.2500 0.2500 0.2500 1

# HoErFeNi | the Alexandria database | PBE-GGA | relaxed
# Raw total energy ... -5.965 eV/atom
data_HoErFeNi
_space_group_name_H-M_alt 'F -4 3 m'
_space_group_IT_number 216
_space_group_name_Hall 'F -4 2 3'
_cell_length_a 6.6392
_cell_length_b 6.6392
_cell_length_c 6.6392
_cell_angle_alpha 90.00
_cell_angle_beta 90.00
_cell_angle_gamma 90.00
loop_
_atom_site_label
_atom_site_fract_x
_atom_site_fract_y
_atom_site_fract_z
_atom_site_occupancy
Ho1 0.0000 0.0000 0.0000 1
Er1 0.0000 0.0000 0.5000 1
Fe1 0.2500 0.2500 0.7500 1
Ni1 0.2500 0.2500 0.2500 1

# VRe3Ni | the Alexandria database | PBE-GGA | relaxed
# Polymorph energy (0 for the lowest one) ... 0.648 eV per formula unit
data_VRe3Ni
_space_group_name_H-M_alt 'P m -3 m'
_space_group_IT_number 221
_space_group_name_Hall '-P 4 2 3'
_cell_length_a 4.4433
_cell_length_b 4.4433
_cell_length_c 4.4433
_cell_angle_alpha 90.00
_cell_angle_beta 90.00
_cell_angle_gamma 90.00
loop_
_atom_site_label
_atom_site_fract_x
_atom_site_fract_y
_atom_site_fract_z
_atom_site_occupancy
V1 0.0000 0.0000 0.0000 1
Re1 0.0000 0.0000 0.5000 1
Ni1 0.5000 0.5000 0.5000 1

# Sm2ErPt | the Alexandria database | PBE-GGA | relaxed
# Polymorph energy (0 for the lowest one) ... 0.678 eV per formula unit
data_Sm2ErPt
_space_group_name_H-M_alt 'P 4/m m m'
_space_group_IT_number 123
_space_group_name_Hall '-P 4 2'
_cell_length_a 3.6436
_cell_length_b 3.6436
_cell_length_c 8.4185
_cell_angle_alpha 90.00
_cell_angle_beta 90.00
_cell_angle_gamma 90.00
loop_
_atom_site_label
_atom_site_fract_x
_atom_site_fract_y
_atom_site_fract_z
_atom_site_occupancy
Sm1 0.0000 0.0000 0.1994 1
Er1 0.5000 0.5000 0.5000 1
Pt1 0.5000 0.5000 0.0000 1

# Ac2Pm5Ru4 | the Alexandria database | PBE-GGA | relaxed
# Raw total energy ... -6.280 eV/atom
data_Ac2Pm5Ru4
_space_group_name_H-M_alt 'C 1 2/m 1'
_space_group_IT_number 12
_cell_length_a 12.7945
_cell_length_b 6.7874
_cell_length_c 9.5073
_cell_angle_alpha 90.00
_cell_angle_beta 127.17
_cell_angle_gamma 90.00
loop_
_space_group_symop_operation_xyz
'x,y,z'
'-x,-y,-z'
'-x,y,-z'
'x,-y,z'
'x+1/2,y+1/2,z'
'-x+1/2,-y+1/2,-z'
'-x+1/2,y+1/2,-z'
'x+1/2,-y+1/2,z'
loop_
_atom_site_label
_atom_site_fract_x
_atom_site_fract_y
_atom_site_fract_z
_atom_site_occupancy
Ac1 0.2236 0.0000 0.1201 1
Pm1 0.0000 0.5000 0.0000 1
Pm2 0.0760 0.2414 0.4025 1
Ru1 0.1597 0.0000 0.7844 1
Ru2 0.2106 0.5000 0.3340 1